1.
## MgFeS2 (PBE)

Data for MgFeS2 after structural relaxation.

a b c (Å): 3.3799 3.3799 22.0733
angles (deg): 90.00 90.00 120.00
Space group R-3m (No. 166, hexagonal axes)
Inequivalent atoms, fractional coordinates:
Mg 0.0000 0.0000 0.0000 [3 per cell]
Fe 0.0000 0.0000 0.5000 [3 per cell]
S 0.0000 0.0000 0.1131 [6 per cell]

Calculated values
Magnetization   0.5 μB/f.u.
Formation energy from raw total energies   -0.345 eV/atom
Calculated total energy   -59.08 eV for the cell shown



2.
## InAgSb2Te (PBE)

Data for InAgSb2Te after structural relaxation.

a b c (Å): 5.600 5.600 5.734
angles (deg): 90.00 90.00 90.00
Space group P4/mmm (No. 123)
Inequivalent atoms, fractional coordinates:
In 0.000 0.000 0.000 [1 per cell]
Ag 0.500 0.500 0.500 [1 per cell]
Sb 0.000 0.500 0.000 [2 per cell]
Te 0.000 0.000 0.500 [1 per cell]

Calculated values
Magnetization   0.0 μB/f.u.
Energy above the lowest structure with this stoichiometry   347 meV/atom
Formation energy from raw total energies   0.831 eV/atom
Calculated total energy   -12.82 eV for the cell shown



3.
## CsTlAg2Pt (PBE)

Data for CsTlAg2Pt after structural relaxation.

a b c (Å): 5.459 5.459 5.252
angles (deg): 90.00 90.00 90.00
Space group P4/mmm (No. 123)
Inequivalent atoms, fractional coordinates:
Cs 0.000 0.000 0.000 [1 per cell]
Tl 0.500 0.500 0.000 [1 per cell]
Ag 0.000 0.500 0.500 [2 per cell]
Pt 0.500 0.500 0.500 [1 per cell]

Calculated values
Magnetization   0.0 μB/f.u.
Formation energy from the elements   38 meV per atom
Calculated total energy   -14.77 eV for the cell shown



4.
## CeHo2Zn9 (PBE)

Data for CeHo2Zn9 after structural relaxation.

a b c (Å): 5.4407 5.4407 25.8358
angles (deg): 90.00 90.00 120.00
Space group R-3m (No. 166, hexagonal axes)
Inequivalent atoms, fractional coordinates:
Ce 0.0000 0.0000 0.0000 [3 per cell]
Ho 0.0000 0.0000 0.1407 [6 per cell]
Zn 0.0000 0.0000 0.3349 [6 per cell]
Zn 0.0000 0.0000 0.5000 [3 per cell]
Zn 0.0064 0.5032 0.9168 [18 per cell]

Calculated values
Magnetization   0.5 μB/f.u.
Formation energy from the elements   -300 meV per atom
Calculated total energy   -90.48 eV for the cell shown



5.
## Ba5Se4O (PBE)

Data for Ba5Se4O after structural relaxation.

a b c (Å): 10.210 10.210 6.650
angles (deg): 90.00 90.00 90.00
Space group I4 (No. 79)
Inequivalent atoms, fractional coordinates:
Ba 0.000 0.000 0.000 [2 per cell]
Ba 0.090 0.276 0.441 [8 per cell]
Se 0.094 0.300 0.937 [8 per cell]
O 0.000 0.000 0.381 [2 per cell]

Calculated values
Magnetization   0.0 μB/f.u.
Formation energy from raw total energies   -2.065 eV/atom
Calculated total energy   -98.33 eV for the cell shown



6.
## Y3Pd2Rh (PBE)

Data for Y3Pd2Rh after structural relaxation.

a b c (Å): 3.459 3.459 10.659
angles (deg): 90.00 90.00 90.00
Space group P4/mmm (No. 123)
Inequivalent atoms, fractional coordinates:
Y 0.000 0.000 0.000 [1 per cell]
Y 0.000 0.000 0.341 [2 per cell]
Pd 0.500 0.500 0.167 [2 per cell]
Rh 0.500 0.500 0.500 [1 per cell]

Calculated values
Magnetization   0.0 μB/f.u.
Formation energy from the elements   -873 meV per atom
Calculated total energy   -42.37 eV for the cell shown